1.
The following is a PBE-GGA calculation of a geometry-optimized ZnFeNiPd structure, from the Open Quantum Materials Database.

```
data_ZnFeNiPd
_chemical_formula_sum 'Zn4 Fe4 Ni4 Pd4'
_cell_length_a 5.9483
_cell_length_b 5.9483
_cell_length_c 5.9483
_cell_angle_alpha 90.00
_cell_angle_beta 90.00
_cell_angle_gamma 90.00
_symmetry_space_group_name_H-M 'F -4 3 m'
_symmetry_Int_Tables_number 216
_symmetry_space_group_name_Hall 'F -4 2 3'
loop_
_atom_site_label
_atom_site_fract_x
_atom_site_fract_y
_atom_site_fract_z
Zn1 0.0000 0.0000 0.0000
Fe1 0.0000 0.0000 0.5000
Ni1 0.2500 0.2500 0.2500
Pd1 0.2500 0.2500 0.7500
```

The calculation puts the relative energy among the computed polymorphs at 0.000 eV per atom. The calculated total energy is -83.55 eV per cell. The formation energy is -0.57 eV/f.u.



2.
The following is a PBE-GGA calculation of a geometry-optimized MgNbGaCu structure, from the Open Quantum Materials Database.

```
data_MgNbGaCu
_chemical_formula_sum 'Mg4 Nb4 Ga4 Cu4'
_cell_length_a 6.3566
_cell_length_b 6.3566
_cell_length_c 6.3566
_cell_angle_alpha 90.00
_cell_angle_beta 90.00
_cell_angle_gamma 90.00
_symmetry_space_group_name_H-M 'F -4 3 m'
_symmetry_Int_Tables_number 216
_symmetry_space_group_name_Hall 'F -4 2 3'
loop_
_atom_site_label
_atom_site_fract_x
_atom_site_fract_y
_atom_site_fract_z
Mg1 0.0000 0.0000 0.0000
Nb1 0.2500 0.2500 0.2500
Ga1 0.0000 0.0000 0.5000
Cu1 0.2500 0.2500 0.7500
```

The calculation puts the relative energy among the computed polymorphs at 0.000 eV per atom. The calculated total energy is -70.52 eV per cell.